1.
LiTcF6 | GGA-PBE | relaxed

symmetry: Fm-3m (225)
crystal system: cubic
raw formation energy: -2.32 eV per atom
total DFT energy (no corrections): -42.090 eV/f.u.
offset from the most stable computed form: 0.00 eV/f.u.

a b c (Å): 5.571 5.571 5.571
angles (deg): 60.00 60.00 60.00
Positions (direct):
Li  0.000  0.000  0.000
Tc  0.500  0.500  0.500
F  0.259  0.259  0.741
F  0.259  0.741  0.259
F  0.259  0.741  0.741
F  0.741  0.259  0.259
F  0.741  0.259  0.741
F  0.741  0.741  0.259


2.
LiTcF | GGA-PBE | relaxed

symmetry: R3m (160)
crystal system: trigonal
raw formation energy: -1.60 eV per atom
total DFT energy (no corrections): -18.944 eV/f.u.
offset from the most stable computed form: 0.00 eV/f.u.

a b c (Å): 10.242 10.242 10.242
angles (deg): 15.72 15.72 15.72
Positions (direct):
Li  0.000  0.000  0.000
Li  0.413  0.413  0.413
Tc  0.183  0.183  0.183
Tc  0.582  0.582  0.582
F  0.111  0.111  0.111
F  0.699  0.699  0.699


3.
LiTcF | GGA-PBE | relaxed

symmetry: P4mm (99)
crystal system: tetragonal
raw formation energy: -1.05 eV per atom
total DFT energy (no corrections): -17.315 eV/f.u.
offset from the most stable computed form: 1.63 eV/f.u.

a b c (Å): 2.527 2.527 5.617
angles (deg): 90.00 90.00 90.00
Positions (direct):
Li  0.000  0.000  0.000
Tc  0.500  0.500  0.528
F  0.500  0.500  0.124


4.
LiTcF | GGA-PBE | relaxed

symmetry: Amm2 (38)
crystal system: orthorhombic
raw formation energy: -1.49 eV per atom
total DFT energy (no corrections): -18.610 eV/f.u.
offset from the most stable computed form: 0.33 eV/f.u.

a b c (Å): 2.956 2.980 18.475
angles (deg): 90.00 90.00 90.00
Positions (direct):
Li  0.000  0.000  0.000
Li  0.000  0.500  0.500
Li  0.500  0.000  0.371
Li  0.500  0.500  0.871
Tc  0.000  0.000  0.746
Tc  0.000  0.500  0.246
Tc  0.500  0.000  0.174
Tc  0.500  0.500  0.674
F  0.000  0.000  0.434
F  0.000  0.500  0.934
F  0.500  0.000  0.060
F  0.500  0.500  0.560


5.
Li3TcF7 | GGA-PBE | relaxed

symmetry: Cm (8)
crystal system: monoclinic
raw formation energy: -2.45 eV per atom
total DFT energy (no corrections): -56.196 eV/f.u.

a b c (Å): 5.086 5.086 5.662
angles (deg): 110.29 110.29 98.28
Positions (direct):
Li  0.000  0.000  0.000
Li  0.324  0.770  0.627
Li  0.770  0.324  0.627
Tc  0.493  0.493  0.085
F  0.147  0.147  0.771
F  0.181  0.655  0.898
F  0.329  0.329  0.305
F  0.539  0.868  0.386
F  0.655  0.181  0.898
F  0.671  0.671  0.882
F  0.868  0.539  0.386


6.
LiTcF | GGA-PBE | relaxed

symmetry: P4/nmm (129)
crystal system: tetragonal
raw formation energy: -1.54 eV per atom
total DFT energy (no corrections): -18.771 eV/f.u.
offset from the most stable computed form: 0.17 eV/f.u.

a b c (Å): 2.876 2.876 8.377
angles (deg): 90.00 90.00 90.00
Positions (direct):
Li  0.250  0.250  0.130
Li  0.750  0.750  0.870
Tc  0.250  0.250  0.588
Tc  0.750  0.750  0.412
F  0.250  0.250  0.879
F  0.750  0.750  0.121


7.
LiTcF | GGA-PBE | relaxed

symmetry: Cm (8)
crystal system: monoclinic
raw formation energy: -1.59 eV per atom
total DFT energy (no corrections): -18.911 eV/f.u.
offset from the most stable computed form: 0.03 eV/f.u.

a b c (Å): 4.843 2.797 10.193
angles (deg): 90.00 90.08 90.00
Positions (direct):
Li  0.000  0.000  0.000
Li  0.002  0.000  0.755
Li  0.500  0.500  0.000
Li  0.502  0.500  0.755
Tc  0.169  0.500  0.503
Tc  0.335  0.000  0.307
Tc  0.669  0.000  0.503
Tc  0.835  0.500  0.307
F  0.168  0.500  0.855
F  0.334  0.000  0.092
F  0.668  0.000  0.855
F  0.834  0.500  0.092


8.
LiTcF2 | GGA-PBE | relaxed

symmetry: I-42d (122)
crystal system: tetragonal
raw formation energy: -1.11 eV per atom
total DFT energy (no corrections): -20.445 eV/f.u.
offset from the most stable computed form: 3.16 eV/f.u.

a b c (Å): 4.878 4.878 8.305
angles (deg): 90.00 90.00 90.00
Positions (direct):
Li  0.000  0.000  0.000
Li  0.000  0.500  0.250
Li  0.500  0.000  0.750
Li  0.500  0.500  0.500
Tc  0.000  0.000  0.500
Tc  0.000  0.500  0.750
Tc  0.500  0.000  0.250
Tc  0.500  0.500  0.000
F  0.170  0.250  0.125
F  0.250  0.670  0.375
F  0.250  0.830  0.875
F  0.330  0.250  0.625
F  0.670  0.750  0.625
F  0.750  0.170  0.875
F  0.750  0.330  0.375
F  0.830  0.750  0.125


9.
LiTcF | GGA-PBE | relaxed

symmetry: P3m1 (156)
crystal system: trigonal
raw formation energy: -1.60 eV per atom
total DFT energy (no corrections): -18.943 eV/f.u.
offset from the most stable computed form: 0.00 eV/f.u.

a b c (Å): 2.802 2.802 10.129
angles (deg): 90.00 90.00 120.00
Positions (direct):
Li  0.000  0.000  0.000
Li  0.333  0.667  0.761
Tc  0.333  0.667  0.309
Tc  0.667  0.333  0.506
F  0.333  0.667  0.092
F  0.667  0.333  0.858


10.
LiTcF2 | GGA-PBE | relaxed

symmetry: Fm-3m (225)
crystal system: cubic
raw formation energy: -0.60 eV per atom
total DFT energy (no corrections): -18.413 eV/f.u.
offset from the most stable computed form: 5.20 eV/f.u.

a b c (Å): 5.602 5.602 5.602
angles (deg): 90.00 90.00 90.00
Positions (direct):
Li  0.000  0.000  0.000
Li  0.000  0.500  0.500
Li  0.500  0.000  0.500
Li  0.500  0.500  0.000
Tc  0.000  0.000  0.500
Tc  0.000  0.500  0.000
Tc  0.500  0.000  0.000
Tc  0.500  0.500  0.500
F  0.250  0.250  0.250
F  0.250  0.250  0.750
F  0.250  0.750  0.250
F  0.250  0.750  0.750
F  0.750  0.250  0.250
F  0.750  0.250  0.750
F  0.750  0.750  0.250
F  0.750  0.750  0.750


11.
LiTc2F8 | GGA-PBE | relaxed

symmetry: P-3 (147)
crystal system: trigonal
raw formation energy: -1.84 eV per atom
total DFT energy (no corrections): -57.824 eV/f.u.
offset from the most stable computed form: 2.59 eV/f.u.

a b c (Å): 6.494 6.494 4.153
angles (deg): 90.00 90.00 120.00
Positions (direct):
Li  0.000  0.000  0.000
Tc  0.333  0.667  0.248
Tc  0.667  0.333  0.752
F  0.164  0.834  0.245
F  0.166  0.330  0.245
F  0.330  0.164  0.755
F  0.333  0.667  0.747
F  0.667  0.333  0.253
F  0.670  0.836  0.245
F  0.834  0.670  0.755
F  0.836  0.166  0.755


12.
LiTcF6 | GGA-PBE | relaxed

symmetry: P312 (149)
crystal system: trigonal
raw formation energy: -2.30 eV per atom
total DFT energy (no corrections): -41.901 eV/f.u.
offset from the most stable computed form: 0.19 eV/f.u.

a b c (Å): 5.014 5.014 4.703
angles (deg): 90.00 90.00 120.00
Positions (direct):
Li  0.000  0.000  0.000
Tc  0.333  0.667  0.500
F  0.033  0.352  0.262
F  0.033  0.680  0.738
F  0.320  0.352  0.738
F  0.320  0.967  0.262
F  0.648  0.680  0.262
F  0.648  0.967  0.738